{
  "formula": "SrTl2Cd2",
  "functional": "meta-GGA SCAN",
  "state": "single point on PBEsol structure",
  "ef_mev_per_atom": -308,
  "sg": "No. 139",
  "vol_a3_per_cell": 137.8,
  "lattice": [[-1.3460, 3.7900, -2.3501], [-4.4372, -0.8930, 1.1014], [3.4993, 2.0384, 5.8998]],
  "species": ["Cd", "Tl", "Tl", "Cd", "Sr"],
  "frac_coords": [[0.7500, 0.2500, 0.5000], [0.6137, 0.6137, 0.2274], [0.3863, 0.3863, 0.7726], [0.2500, 0.7500, 0.5000], [0.0000, 0.0000, 0.0000]]
}

***

{
  "formula": "Sr2TlCd",
  "functional": "meta-GGA SCAN",
  "state": "single point on PBEsol structure",
  "ef_mev_per_atom": -526,
  "sg": "No. 25",
  "vol_a3_per_cell": 126.7,
  "lattice": [[-1.8258, -1.0545, -3.2892], [4.5695, -3.0128, -1.5705], [-2.1131, -4.5821, 2.6419]],
  "species": ["Cd", "Sr", "Tl", "Sr"],
  "frac_coords": [[0.5000, 0.5000, 0.1269], [0.0000, 0.0000, 0.1241], [0.5000, 0.0000, 0.6232], [0.0000, 0.5000, 0.6258]]
}

***

{
  "formula": "Sr2TlCd",
  "functional": "meta-GGA SCAN",
  "state": "single point on PBEsol structure",
  "ef_mev_per_atom": -405,
  "sg": "No. 8",
  "vol_a3_per_cell": 128.1,
  "lattice": [[3.8778, 0.0000, 0.0000], [0.0000, 5.6799, -0.1290], [-1.9389, -2.1237, 5.8649]],
  "species": ["Sr", "Cd", "Sr", "Tl"],
  "frac_coords": [[0.2266, 0.7066, 0.4533], [0.7763, 0.2421, 0.5525], [0.0254, 0.0451, 0.0508], [0.4717, 0.5062, 0.9434]]
}

***

{
  "formula": "Sr2TlCd",
  "functional": "meta-GGA SCAN",
  "state": "single point on PBEsol structure",
  "ef_mev_per_atom": -406,
  "sg": "No. 44",
  "vol_a3_per_cell": 128.2,
  "lattice": [[3.9466, 0.0000, 0.0000], [0.0000, 5.6021, 0.0000], [-1.9733, -2.8011, 5.7963]],
  "species": ["Sr", "Cd", "Tl", "Sr"],
  "frac_coords": [[0.7721, 0.2721, 0.5442], [0.2243, 0.7243, 0.4487], [0.5289, 0.5289, 0.0578], [0.9746, 0.9746, 0.9493]]
}